Hf2Mg2Pd5 after structural relaxation, computed with PBE.

Calculated values
Total energy in eV/atom: -5.91
E_form in eV per atom: -0.461

Cell: 9.054 9.054 9.054 Å, 63.48 129.22 144.51°
Fractional coordinates of all 18 atoms:
Hf (0.000, 0.000, 0.000)
Hf (0.000, 0.500, 0.500)
Hf (0.019, 0.143, 0.376)
Hf (0.767, 0.643, 0.624)
Mg (0.444, 0.600, 0.020)
Mg (0.444, 0.924, 0.343)
Mg (0.580, 0.100, 0.657)
Mg (0.580, 0.424, 0.980)
Pd (0.188, 0.708, 0.793)
Pd (0.188, 0.895, 0.980)
Pd (0.373, 0.161, 0.711)
Pd (0.450, 0.661, 0.289)
Pd (0.488, 0.328, 0.335)
Pd (0.488, 0.654, 0.660)
Pd (0.915, 0.208, 0.020)
Pd (0.915, 0.395, 0.207)
Pd (0.993, 0.154, 0.665)
Pd (0.993, 0.828, 0.340)